# 1
ZrGaH3 | PBE | optimized geometry

Unit cell a=3.606 b=3.606 c=3.606 alpha=90.00 beta=90.00 gamma=90.00
Space group Pm-3m (No. 221)
One atom of each set of equivalent atoms:
Zr1 0.000 0.000 0.000 (multiplicity 1)
Ga1 0.500 0.500 0.500 (multiplicity 1)
H1 0.000 0.500 0.500 (multiplicity 3)

## Properties
V = 9.4 Å³/atom
relative energy among the computed polymorphs = 1.623 eV/f.u.
calculated density = 5.81 g/cm3



# 2
NpFe2Ge | PBE | optimized geometry

Unit cell a=4.482 b=4.305 c=6.640 alpha=90.00 beta=106.91 gamma=90.00
Space group P2_1/m (No. 11)
One atom of each set of equivalent atoms:
Np1 0.157 0.250 0.215 (multiplicity 2)
Fe1 0.306 0.750 0.512 (multiplicity 2)
Fe2 0.353 0.750 0.919 (multiplicity 2)
Ge1 0.303 0.250 0.709 (multiplicity 2)

## Properties
V = 15.3 Å³/atom
calculated density = 11.41 g/cm3
formation energy = -0.189 eV/atom



# 3
Hf2TiOs | PBE | optimized geometry

Unit cell a=4.707 b=4.707 c=3.261 alpha=90.00 beta=90.00 gamma=90.00
Space group P4/mmm (No. 123)
One atom of each set of equivalent atoms:
Hf1 0.000 0.500 0.000 (multiplicity 2)
Ti1 0.000 0.000 0.500 (multiplicity 1)
Os1 0.500 0.500 0.500 (multiplicity 1)

## Properties
V = 18.1 Å³/atom
calculated density = 13.68 g/cm3
formation energy = -0.300 eV/atom



# 4
ThGa5Au7 | PBE | optimized geometry

Unit cell a=5.620 b=9.497 c=9.166 alpha=90.00 beta=90.00 gamma=90.00
Space group Imm2 (No. 44)
One atom of each set of equivalent atoms:
Th1 0.000 0.000 0.000 (multiplicity 2)
Ga1 0.000 0.500 0.256 (multiplicity 2)
Ga2 0.243 0.257 0.744 (multiplicity 8)
Au1 0.000 0.000 0.336 (multiplicity 2)
Au2 0.000 0.000 0.673 (multiplicity 2)
Au3 0.000 0.307 0.481 (multiplicity 4)
Au4 0.000 0.337 0.007 (multiplicity 4)
Au5 0.000 0.500 0.721 (multiplicity 2)

## Properties
V = 18.8 Å³/atom
calculated density = 13.30 g/cm3
formation energy = -0.274 eV/atom



# 5
Li12Mg5In2 | PBE | optimized geometry

Unit cell a=19.124 b=8.775 c=4.769 alpha=90.00 beta=104.31 gamma=90.00
Space group C2/m (No. 12)
One atom of each set of equivalent atoms:
Li1 0.081 0.000 0.082 (multiplicity 4)
Li2 0.082 0.210 0.582 (multiplicity 8)
Li3 0.103 0.500 0.103 (multiplicity 4)
Li4 0.188 0.235 0.189 (multiplicity 8)
Mg1 0.000 0.500 0.500 (multiplicity 2)
Mg2 0.187 0.500 0.686 (multiplicity 4)
Mg3 0.208 0.000 0.709 (multiplicity 4)
In1 0.000 0.276 0.000 (multiplicity 4)

## Properties
V = 20.4 Å³/atom
relative energy among the computed polymorphs = 0.000 eV/f.u.
calculated density = 1.86 g/cm3
formation energy = -0.097 eV/atom



# 6
Pu3Ga4Ru | PBE | optimized geometry

Unit cell a=4.582 b=6.707 c=11.808 alpha=90.00 beta=90.00 gamma=90.00
Space group Immm (No. 71)
One atom of each set of equivalent atoms:
Pu1 0.000 0.000 0.000 (multiplicity 2)
Pu2 0.000 0.500 0.143 (multiplicity 4)
Ga1 0.000 0.296 0.360 (multiplicity 8)
Ru1 0.000 0.000 0.500 (multiplicity 2)

## Properties
V = 22.7 Å³/atom
calculated density = 10.18 g/cm3
formation energy = -0.139 eV/atom